Pr4SnB3Rh12 | Alexandria | PBE | optimized geometry; space-group type = No. 229; calculated total energy = -7.10 eV/atom; energy of formation = -1017 kJ/mol of formula units
1.0
-4.4197 4.4197 4.4197
4.4197 -4.4197 4.4197
4.4197 4.4197 -4.4197
Pr Sn B Rh
4 1 3 12
Cartesian
2.2099 2.2099 -2.2099 Pr
2.2099 -2.2099 2.2099 Pr
-2.2099 2.2099 2.2099 Pr
2.2099 2.2099 2.2099 Pr
0.0000 0.0000 0.0000 Sn
4.4197 0.0000 0.0000 B
0.0000 4.4197 0.0000 B
0.0000 0.0000 4.4197 B
2.4768 0.0000 0.0000 Rh
6.3627 0.0000 0.0000 Rh
4.4197 2.2099 0.0000 Rh
4.4197 0.0000 2.2099 Rh
0.0000 2.4768 0.0000 Rh
0.0000 0.0000 2.4768 Rh
2.2099 4.4197 0.0000 Rh
2.2099 0.0000 4.4197 Rh
0.0000 6.3627 0.0000 Rh
0.0000 0.0000 6.3627 Rh
0.0000 4.4197 2.2099 Rh
0.0000 2.2099 4.4197 Rh



Pr3SnB2Rh9 | Alexandria | PBE | optimized geometry; space-group type = No. 164; calculated total energy = -7.06 eV/atom; energy of formation = -780 kJ/mol of formula units
1.0
6.1187 0.0000 0.0000
-3.0594 5.2990 0.0000
0.0000 0.0000 8.2094
Pr Sn B Rh
3 1 2 9
Cartesian
0.0000 0.0000 0.0000 Pr
0.0000 3.5327 5.4226 Pr
3.0594 1.7663 2.7868 Pr
0.0000 0.0000 4.1047 Sn
0.0000 3.5327 1.1246 B
3.0594 1.7663 7.0849 B
-1.5297 2.6495 0.0000 Rh
0.0000 1.8785 2.3645 Rh
-1.4325 4.3597 2.3645 Rh
1.6269 0.9393 5.8449 Rh
3.0594 0.0000 0.0000 Rh
1.5297 2.6495 0.0000 Rh
1.4325 4.3597 2.3645 Rh
4.4919 0.9393 5.8449 Rh
3.0594 3.4204 5.8449 Rh



Pr3UB2Rh9 | Alexandria | PBE | optimized geometry; space-group type = No. 164; calculated total energy = -7.58 eV/atom; energy of formation = -821 kJ/mol of formula units
1.0
5.9833 0.0000 0.0000
-2.9916 5.1817 0.0000
0.0000 0.0000 8.6036
Pr U B Rh
3 1 2 9
Cartesian
0.0000 0.0000 0.0000 Pr
0.0000 3.4544 5.6223 Pr
2.9916 1.7272 2.9813 Pr
0.0000 0.0000 4.3018 U
0.0000 3.4544 1.2231 B
2.9916 1.7272 7.3805 B
-1.4958 2.5908 0.0000 Rh
0.0000 1.7178 2.4585 Rh
-1.5040 4.3228 2.4585 Rh
1.4877 0.8589 6.1451 Rh
2.9916 0.0000 0.0000 Rh
1.4958 2.5908 0.0000 Rh
1.5040 4.3228 2.4585 Rh
4.4956 0.8589 6.1451 Rh
2.9916 3.4638 6.1451 Rh



Pr2ZnB3Rh12 | Alexandria | PBE | optimized geometry; space-group type = No. 166; calculated total energy = -6.73 eV/atom; energy of formation = -197 kJ/mol of formula units
1.0
3.7798 2.1822 5.6944
-3.7798 2.1822 5.6944
0.0000 -4.3645 5.6944
Pr Zn B Rh
2 1 3 12
Cartesian
0.0000 0.0000 1.5496 Pr
0.0000 0.0000 15.5335 Pr
0.0000 0.0000 8.5415 Zn
-1.8899 -1.0911 5.6944 B
-1.8899 1.0911 11.3887 B
0.0000 2.1822 5.6943 B
-2.2500 -1.2990 7.7630 Rh
0.0000 -1.6890 6.1849 Rh
-1.4627 0.8445 6.1849 Rh
0.0000 -2.5980 9.3201 Rh
-2.2500 1.2990 9.3201 Rh
-1.4627 -0.8445 10.8982 Rh
1.4627 0.8445 6.1849 Rh
2.2500 -1.2990 7.7630 Rh
0.0000 2.5980 7.7630 Rh
1.4627 -0.8445 10.8982 Rh
0.0000 1.6890 10.8982 Rh
2.2500 1.2990 9.3201 Rh



Pr3Zn2BRh3 | Alexandria | PBE | optimized geometry; space-group type = No. 189; calculated total energy = -5.46 eV/atom; energy of formation = -337 kJ/mol of formula units
1.0
7.5536 0.0000 0.0000
-3.7768 6.5416 0.0000
0.0000 0.0000 3.5591
Pr Zn B Rh
3 2 1 3
Cartesian
-2.3763 4.1158 0.0000 Pr
1.4005 2.4258 0.0000 Pr
4.7525 0.0000 0.0000 Pr
0.0000 4.3611 1.7796 Zn
3.7768 2.1805 1.7796 Zn
0.0000 0.0000 0.0000 B
-0.7968 1.3801 1.7796 Rh
1.5936 0.0000 1.7796 Rh
2.9800 5.1615 1.7796 Rh



PrB2Ru2 | Alexandria | PBE | optimized geometry; space-group type = No. 15; calculated total energy = -7.83 eV/atom; energy of formation = -240 kJ/mol of formula units
1.0
3.2669 -4.6003 0.0000
3.2669 4.6003 0.0000
-3.2565 0.0000 5.0343
Pr B Ru
2 4 4
Cartesian
0.8245 3.4493 3.7757 Pr
2.4528 -3.4493 1.2586 Pr
2.4528 2.8148 1.2586 B
0.8245 0.5175 3.7757 B
2.4528 -0.5175 1.2586 B
0.8245 -2.8148 3.7757 B
-0.8079 1.1491 4.9179 Ru
0.8204 -1.1491 2.4007 Ru
2.4568 1.1491 2.6336 Ru
4.0851 -1.1491 0.1164 Ru



PrBRu | Alexandria | PBE | optimized geometry; space-group type = No. 129; calculated total energy = -7.23 eV/atom; energy of formation = -93 kJ/mol of formula units
1.0
3.9608 0.0000 0.0000
0.0000 3.9608 0.0000
0.0000 0.0000 7.7190
Pr B Ru
2 2 2
Cartesian
0.9902 0.9902 1.5594 Pr
2.9706 2.9706 6.1597 Pr
0.9902 0.9902 4.7236 B
2.9706 2.9706 2.9955 B
0.9902 2.9706 3.8595 Ru
2.9706 0.9902 3.8595 Ru



Pr2B7Ru12 | Alexandria | PBE | optimized geometry; space-group type = No. 174; calculated total energy = -8.10 eV/atom; energy of formation = -249 kJ/mol of formula units
1.0
9.1915 0.0000 0.0000
-4.5957 7.9601 0.0000
0.0000 0.0000 3.7362
Pr B Ru
2 7 12
Cartesian
0.0000 0.0000 0.0000 Pr
0.0000 5.3067 1.8681 Pr
-2.2511 4.7508 0.0000 B
2.3470 0.5365 1.8681 B
1.6070 3.6352 0.0000 B
0.6441 7.5342 0.0000 B
4.5958 2.6534 0.0000 B
3.8869 5.6592 1.8681 B
7.5533 1.7643 1.8681 B
-2.8894 6.0704 1.8681 Ru
-0.8355 2.9714 0.0000 Ru
0.7833 2.4226 1.8681 Ru
-1.6047 7.1979 0.0000 Ru
2.6826 1.7715 0.0000 Ru
4.4757 0.9273 1.8681 Ru
3.1610 3.6203 1.8681 Ru
2.4402 5.7509 0.0000 Ru
2.1060 7.4271 1.8681 Ru
6.3161 1.4375 0.0000 Ru
4.7886 4.7511 0.0000 Ru
6.1506 3.4124 1.8681 Ru



PrB2Ru3 | Alexandria | PBE | optimized geometry; space-group type = No. 191; calculated total energy = -8.04 eV/atom; energy of formation = -222 kJ/mol of formula units
1.0
5.5862 0.0000 0.0000
-2.7931 4.8378 0.0000
0.0000 0.0000 3.0496
Pr B Ru
1 2 3
Cartesian
0.0000 0.0000 0.0000 Pr
0.0000 3.2252 0.0000 B
2.7931 1.6126 0.0000 B
-1.3966 2.4189 1.5248 Ru
2.7931 0.0000 1.5248 Ru
1.3966 2.4189 1.5248 Ru



PrBRu | Alexandria | PBE | optimized geometry; space-group type = No. 1; calculated total energy = -6.93 eV/atom; energy of formation = -6 kJ/mol of formula units
1.0
3.0488 0.0000 0.0000
0.0123 3.0509 0.0000
1.3758 1.3843 5.2637
Pr B Ru
1 1 1
Cartesian
0.0000 0.0000 0.0000 Pr
1.4132 1.4243 2.2796 B
2.9217 2.9303 2.8543 Ru



PrB4Ru | Alexandria | PBE | optimized geometry; space-group type = No. 55; calculated total energy = -7.28 eV/atom; energy of formation = -282 kJ/mol of formula units
1.0
6.0869 0.0000 0.0000
0.0000 11.7819 0.0000
0.0000 0.0000 3.6591
Pr B Ru
4 16 4
Cartesian
0.7698 1.7711 0.0000 Pr
2.2736 7.6620 0.0000 Pr
3.8132 4.1199 0.0000 Pr
5.3171 10.0108 0.0000 Pr
0.1481 8.1102 1.8295 B
0.6687 6.4218 1.8295 B
0.8550 11.4144 1.8295 B
1.3283 9.6228 1.8295 B
1.7151 3.7318 1.8295 B
2.1884 5.5234 1.8295 B
2.3747 0.5308 1.8295 B
2.8953 2.2192 1.8295 B
3.1915 9.5627 1.8295 B
3.7122 11.2511 1.8295 B
3.8984 6.2585 1.8295 B
4.3717 8.0501 1.8295 B
4.7586 2.1591 1.8295 B
5.2318 0.3675 1.8295 B
5.4181 5.3601 1.8295 B
5.9387 3.6717 1.8295 B
0.8392 4.8160 0.0000 Ru
2.2042 10.7070 0.0000 Ru
3.8826 1.0749 0.0000 Ru
5.2477 6.9659 0.0000 Ru



Pr2B4Ru3 | Alexandria | PBE | optimized geometry; space-group type = No. 69; calculated total energy = -7.06 eV/atom; energy of formation = 52 kJ/mol of formula units
1.0
0.0000 4.7699 5.3898
2.8289 0.0000 5.3898
2.8289 4.7699 0.0000
Pr B Ru
2 4 3
Cartesian
2.8289 4.7699 1.6902 Pr
2.8289 4.7699 9.0893 Pr
2.8289 3.1307 4.0427 B
2.8289 3.1307 6.7369 B
2.8289 6.4090 4.0427 B
2.8289 6.4090 6.7369 B
1.4144 2.3849 0.0000 Ru
1.4144 2.3849 5.3898 Ru
2.8289 4.7699 5.3898 Ru